*one*
Compound: La2NbIr
Source: Alexandria
Functional: GGA-PBE
Structure: optimized geometry

Unit cell a=7.3330 b=7.3330 c=7.3330 alpha=90.00 beta=90.00 gamma=90.00
Space group Fm-3m (No. 225)
One atom of each set of equivalent atoms:
1 La 0.2500 0.2500 0.2500 x8
2 Nb 0.0000 0.0000 0.0000 x4
3 Ir 0.0000 0.0000 0.5000 x4

## Properties
For the total magnetization, the calculation gives 10.14 Bohr magnetons per cell. The density of states at the Fermi level is 18.59 states/eV per cell.

*two*
Compound: La2NbIr
Source: Alexandria
Functional: GGA-PBE
Structure: optimized geometry

Unit cell a=8.1225 b=8.1225 c=6.1480 alpha=90.00 beta=90.00 gamma=90.00
Space group I-42d (No. 122)
One atom of each set of equivalent atoms:
1 La 0.2164 0.2500 0.1250 x8
2 Nb 0.0000 0.0000 0.5000 x4
3 Ir 0.0000 0.0000 0.0000 x4

## Properties
For the total magnetization, the calculation gives 2.09 Bohr magnetons per cell. The density of states at the Fermi level is 20.76 states/eV per cell.

Stability ranking, top and bottom: *one* is the most stable and *two* is the least stable.